NaVS2O8: optimized geometry, PBE+U.

```
NaVS2O8
1.0
4.8897 0.0101 0.0196
2.0906 4.4202 0.0196
0.0218 0.0138 7.2816
V S Na O
1 2 1 8
Direct
0.0000 0.0000 0.5000
0.6467 0.6467 0.2801
0.3533 0.3533 0.7199
0.0000 0.0000 0.0000
0.2288 0.6945 0.7015
0.2771 0.2771 0.8996
0.7229 0.7229 0.1004
0.3055 0.7712 0.2985
0.7712 0.3055 0.2985
0.6945 0.2288 0.7015
0.2392 0.2392 0.5643
0.7608 0.7608 0.4357
```

## Properties
The calculation puts the offset from the most stable computed form at 0 meV per atom. Its volume is 157.2 Å³ per cell. The total energy is -6.39 eV per atom.